1.
A plane-wave DFT calculation with GGA-PBE was carried out for an optimized crystal structure of NiIrRu2.

Structure (POSCAR):
```
NiIrRu2
1.0
-1.603 -1.353 -4.730
1.060 -4.718 -1.841
-2.296 2.945 3.581
Ir Ni Ru
1 1 2
Direct
0.477 0.477 0.000 Ir
0.249 0.749 0.500 Ni
0.025 0.025 0.000 Ru
0.749 0.249 0.500 Ru
```

SG   Imm2
Raw total energy   -8.035 eV/atom
E above lowest polymorph   226.1 meV/atom
Energy of formation   1.06 eV per formula unit


2.
A plane-wave DFT calculation with GGA-PBE was carried out for an optimized crystal structure of YCoBIr2.

Structure (POSCAR):
```
YCoBIr2
1.0
4.197 0.000 0.000
0.000 4.197 0.000
0.000 0.000 4.095
Y B Ir Co
1 1 2 1
Direct
0.500 0.500 0.500 Y
0.000 0.000 0.000 B
0.000 0.500 0.000 Ir
0.500 0.000 0.000 Ir
0.000 0.000 0.500 Co
```

SG   P4/mmm
Raw total energy   -8.140 eV/atom
Energy of formation   -2.73 eV per formula unit


3.
A plane-wave DFT calculation with GGA-PBE was carried out for an optimized crystal structure of InSnI2N.

Structure (POSCAR):
```
InSnI2N
1.0
-4.113 4.631 0.843
-4.438 -3.442 -2.745
-1.092 -1.672 3.862
I N Sn In
2 1 1 1
Direct
0.000 0.500 0.000 I
0.500 0.000 0.000 I
0.000 0.000 0.500 N
0.500 0.500 0.500 Sn
0.000 0.000 0.000 In
```

Formation energy without anion corrections   0.6011 eV/atom
SG   P4/mmm
Raw total energy   -3.032 eV/atom
E above lowest polymorph   307.5 meV/atom


4.
A plane-wave DFT calculation with GGA-PBE was carried out for an optimized crystal structure of Mg3Os2.

Structure (POSCAR):
```
Mg3Os2
1.0
0.000 4.718 12.527
1.423 0.000 12.527
1.423 4.718 0.000
Mg Os
6 4
Direct
0.500 0.704 0.386 Mg
0.411 0.386 0.704 Mg
0.546 0.750 0.839 Mg
0.864 0.839 0.750 Mg
0.011 0.989 0.989 Mg
0.261 0.239 0.239 Mg
0.808 0.276 0.645 Os
0.271 0.645 0.276 Os
0.974 0.442 0.979 Os
0.605 0.979 0.442 Os
```

SG   Fdd2
Raw total energy   -5.217 eV/atom
Energy of formation   1.16 eV per formula unit